Entry from the Alexandria database: an optimized crystal structure of Na5HgBi3 (PBE).

Cell lengths 9.513, 9.513, 10.734 Å; angles 56.31, 56.31, 74.44 degrees
Sites, in units of the cell vectors:
Na1 0.934 0.399 0.381
Na2 0.269 0.731 0.000
Na3 0.834 0.834 0.918
Na4 0.499 0.499 0.256
Na5 0.501 0.501 0.744
Na6 0.166 0.166 0.082
Na7 0.399 0.934 0.381
Na8 0.731 0.269 0.000
Na9 0.066 0.601 0.619
Na10 0.601 0.066 0.619
Hg1 0.158 0.158 0.599
Hg2 0.842 0.842 0.401
Bi1 0.669 0.669 0.823
Bi2 0.671 0.671 0.336
Bi3 0.000 0.000 0.000
Bi4 0.000 0.000 0.500
Bi5 0.331 0.331 0.177
Bi6 0.329 0.329 0.664

Spin magnetization ... 0.0 μB per formula unit
SG ... C2/m, No. 12
Uncorrected energy ... -0.1662 Ry/atom
Formation energy from the elements ... -19 kJ per mole of atoms

Entry from the Alexandria database: an optimized crystal structure of Li2PBr (PBE).

Cell lengths 4.661, 4.661, 4.661 Å; angles 60.00, 60.00, 60.00 degrees
Sites, in units of the cell vectors:
P1 0.000 0.000 0.000
Br1 0.500 0.500 0.500
Li1 0.250 0.250 0.250
Li2 0.750 0.750 0.750

Energy relative to the elements, uncorrected ... -279 meV/atom
Spin magnetization ... 0.0 μB per formula unit
SG ... Fm-3m, No. 225
Uncorrected energy ... -0.2210 Ry/atom
Energy relative to the lowest polymorph listed for this composition ... 1.23 eV/f.u.

Entry from the Alexandria database: an optimized crystal structure of CeTlP2S8 (PBE).

Cell lengths 6.156, 6.156, 10.001 Å; angles 72.08, 72.08, 60.00 degrees
Sites, in units of the cell vectors:
Ce1 0.000 0.000 0.000
Tl1 0.500 0.500 0.500
P1 0.252 0.252 0.244
P2 0.748 0.748 0.756
S1 0.180 0.180 0.460
S2 0.576 0.306 0.176
S3 0.820 0.820 0.540
S4 0.942 0.576 0.176
S5 0.058 0.424 0.824
S6 0.306 0.942 0.176
S7 0.694 0.058 0.824
S8 0.424 0.694 0.824

Energy relative to the elements, uncorrected ... -496 meV/atom
Spin magnetization ... 0.9 μB per formula unit
SG ... R-3, No. 148
Uncorrected energy ... -0.3558 Ry/atom

Entry from the Alexandria database: an optimized crystal structure of Mg3TlIn4 (PBE).

Cell lengths 3.511, 4.799, 12.492 Å; angles 101.69, 98.08, 90.00 degrees
Sites, in units of the cell vectors:
Mg1 0.000 0.500 0.000
Mg2 0.145 0.135 0.291
Mg3 0.855 0.865 0.709
Tl1 0.500 0.000 0.000
In1 0.397 0.413 0.795
In2 0.603 0.587 0.205
In3 0.726 0.722 0.451
In4 0.274 0.278 0.549

Spin magnetization ... 0.0 μB per formula unit
SG ... C2/m, No. 12
Uncorrected energy ... -0.1665 Ry/atom
Formation energy from the elements ... 0 kJ per mole of atoms
Energy relative to the lowest polymorph listed for this composition ... 0.27 eV/f.u.

Entry from the Alexandria database: an optimized crystal structure of Cd4Tc5 (PBE).

Cell lengths 6.879, 6.879, 6.879 Å; angles 93.53, 93.53, 151.25 degrees
Sites, in units of the cell vectors:
Cd1 0.000 0.326 0.326
Cd2 0.000 0.674 0.674
Cd3 0.326 0.000 0.326
Cd4 0.674 0.000 0.674
Tc1 0.000 0.000 0.000
Tc2 0.328 0.328 0.655
Tc3 0.328 0.672 0.000
Tc4 0.672 0.328 0.000
Tc5 0.672 0.672 0.345

Spin magnetization ... 0.0 μB per formula unit
SG ... I4/mmm, No. 139
Uncorrected energy ... -0.4120 Ry/atom
Formation energy from the elements ... 54 kJ per mole of atoms

Entry from the Alexandria database: an optimized crystal structure of CaFe2ReSi (PBE).

Cell lengths 4.326, 4.535, 4.326 Å; angles 90.00, 90.00, 90.00 degrees
Sites, in units of the cell vectors:
Re1 0.000 0.500 0.000
Ca1 0.500 0.500 0.500
Si1 0.000 0.000 0.000
Fe1 0.000 0.000 0.500
Fe2 0.500 0.000 0.000

Energy relative to the elements, uncorrected ... 754 meV/atom
Spin magnetization ... 0.6 μB per formula unit
SG ... P4/mmm, No. 123
Uncorrected energy ... -0.4855 Ry/atom

Entry from the Alexandria database: an optimized crystal structure of MnCrTcPd (PBE).

Cell lengths 8.672, 2.769, 4.532 Å; angles 90.00, 103.89, 90.00 degrees
Sites, in units of the cell vectors:
Cr1 0.461 0.000 0.268
Cr2 0.461 0.500 0.768
Mn1 0.247 0.000 0.652
Mn2 0.247 0.500 0.152
Tc1 0.005 0.000 0.203
Tc2 0.005 0.500 0.703
Pd1 0.720 0.000 0.723
Pd2 0.720 0.500 0.223

Spin magnetization ... 0.0 μB per formula unit
SG ... Cm, No. 8
Uncorrected energy ... -0.6208 Ry/atom
Formation energy from the elements ... 14 kJ per mole of atoms
Energy relative to the lowest polymorph listed for this composition ... 0.33 eV/f.u.

Entry from the Alexandria database: an optimized crystal structure of TbHo2Lu (PBE).

Cell lengths 3.507, 3.507, 9.940 Å; angles 90.00, 90.00, 90.00 degrees
Sites, in units of the cell vectors:
Lu1 0.500 0.500 0.000
Tb1 0.500 0.500 0.500
Ho1 0.000 0.000 0.753
Ho2 0.000 0.000 0.247

Spin magnetization ... 0.0 μB per formula unit
SG ... P4/mmm, No. 123
Uncorrected energy ... -0.3345 Ry/atom
Formation energy from the elements ... 2 kJ per mole of atoms
Energy relative to the lowest polymorph listed for this composition ... 0.00 eV/f.u.

Entry from the Alexandria database: an optimized crystal structure of Re2Mo (PBE).

Cell lengths 4.388, 4.388, 5.711 Å; angles 90.00, 90.00, 120.00 degrees
Sites, in units of the cell vectors:
Re1 0.333 0.667 0.972
Re2 0.333 0.667 0.528
Re3 0.667 0.333 0.472
Re4 0.667 0.333 0.028
Mo1 0.000 0.000 0.750
Mo2 0.000 0.000 0.250

Spin magnetization ... 0.0 μB per formula unit
SG ... P6_3/mmc, No. 194
Uncorrected energy ... -0.8562 Ry/atom
Formation energy from the elements ... 25 kJ per mole of atoms
Energy relative to the lowest polymorph listed for this composition ... 0.43 eV/f.u.

Entry from the Alexandria database: an optimized crystal structure of Sr2ZnCr (PBE).

Cell lengths 4.553, 4.796, 6.503 Å; angles 68.26, 90.00, 90.00 degrees
Sites, in units of the cell vectors:
Cr1 0.500 0.568 0.738
Sr1 0.000 0.980 0.915
Sr2 0.500 0.268 0.339
Zn1 0.000 0.685 0.507

Spin magnetization ... 4.4 μB per formula unit
SG ... Pm, No. 6
Uncorrected energy ... -0.2451 Ry/atom
Formation energy from the elements ... 22 kJ per mole of atoms

Entry from the Alexandria database: an optimized crystal structure of Zr2CdSiB (PBE).

Cell lengths 5.257, 4.477, 5.257 Å; angles 90.00, 90.00, 90.00 degrees
Sites, in units of the cell vectors:
Si1 0.000 0.500 0.000
B1 0.500 0.500 0.500
Zr1 0.000 0.000 0.500
Zr2 0.500 0.000 0.000
Cd1 0.000 0.000 0.000

Energy relative to the elements, uncorrected ... 1858 meV/atom
Spin magnetization ... 0.0 μB per formula unit
SG ... P4/mmm, No. 123
Uncorrected energy ... -0.3060 Ry/atom

Entry from the Alexandria database: an optimized crystal structure of Ce3CdIn3 (PBE).

Cell lengths 6.707, 6.707, 8.679 Å; angles 89.97, 89.97, 91.55 degrees
Sites, in units of the cell vectors:
Ce1 0.959 0.959 0.750
Ce2 0.442 0.054 0.249
Ce3 0.054 0.442 0.249
Ce4 0.558 0.946 0.751
Ce5 0.946 0.558 0.751
Ce6 0.041 0.041 0.250
Cd1 0.283 0.283 0.932
Cd2 0.717 0.717 0.068
In1 0.278 0.278 0.566
In2 0.264 0.736 0.500
In3 0.736 0.264 0.500
In4 0.263 0.737 0.000
In5 0.737 0.263 0.000
In6 0.722 0.722 0.434

Spin magnetization ... 1.3 μB per formula unit
SG ... C2/m, No. 12
Uncorrected energy ... -0.3012 Ry/atom
Formation energy from the elements ... -24 kJ per mole of atoms

Entry from the Alexandria database: an optimized crystal structure of NaSr2P (PBE).

Cell lengths 8.853, 8.853, 7.548 Å; angles 54.09, 54.09, 90.00 degrees
Sites, in units of the cell vectors:
Sr1 0.702 0.125 0.250
Sr2 0.048 0.625 0.250
Sr3 0.375 0.298 0.750
Sr4 0.875 0.952 0.750
Na1 0.500 0.500 0.000
Na2 0.250 0.750 0.500
P1 0.000 0.000 0.000
P2 0.750 0.250 0.500

Spin magnetization ... 0.0 μB per formula unit
SG ... I-42d, No. 122
Uncorrected energy ... -0.2120 Ry/atom
Formation energy from the elements ... -35 kJ per mole of atoms

Entry from the Alexandria database: an optimized crystal structure of AlZn2Br (PBE).

Cell lengths 4.469, 4.469, 6.847 Å; angles 60.74, 60.74, 59.92 degrees
Sites, in units of the cell vectors:
Zn1 0.119 0.119 0.720
Zn2 0.785 0.785 0.721
Al1 0.407 0.407 0.812
Br1 0.189 0.189 0.247

Energy relative to the elements, uncorrected ... -194 meV/atom
Spin magnetization ... 0.0 μB per formula unit
SG ... Cm, No. 8
Uncorrected energy ... -0.1605 Ry/atom
Energy relative to the lowest polymorph listed for this composition ... 0.00 eV/f.u.

Entry from the Alexandria database: an optimized crystal structure of LaOs2SeCl (PBE).

Cell lengths 5.165, 5.801, 5.165 Å; angles 90.00, 90.00, 90.00 degrees
Sites, in units of the cell vectors:
Cl1 0.500 0.500 0.500
Os1 0.000 0.000 0.500
Os2 0.500 0.000 0.000
Se1 0.000 0.500 0.000
La1 0.000 0.000 0.000

Energy relative to the elements, uncorrected ... 2046 meV/atom
Spin magnetization ... 5.8 μB per formula unit
SG ... P4/mmm, No. 123
Uncorrected energy ... -0.3306 Ry/atom

Entry from the Alexandria database: an optimized crystal structure of BiBr2 (PBE).

Cell lengths 5.046, 5.046, 6.653 Å; angles 91.61, 76.60, 48.88 degrees
Sites, in units of the cell vectors:
Bi1 0.528 0.978 0.992
Br1 0.043 0.728 0.227
Br2 0.013 0.227 0.757

Energy relative to the elements, uncorrected ... -434 meV/atom
Spin magnetization ... 0.0 μB per formula unit
SG ... C2/m, No. 12
Uncorrected energy ... -0.2090 Ry/atom

Entry from the Alexandria database: an optimized crystal structure of Na2TlF4 (PBE).

Cell lengths 3.486, 5.855, 6.656 Å; angles 117.59, 105.18, 90.00 degrees
Sites, in units of the cell vectors:
Na1 0.709 0.722 0.418
Na2 0.291 0.278 0.582
Tl1 0.000 0.000 0.000
F1 0.866 0.164 0.733
F2 0.134 0.836 0.267
F3 0.639 0.282 0.279
F4 0.361 0.718 0.721

Energy relative to the elements, uncorrected ... -2266 meV/atom
Spin magnetization ... 0.0 μB per formula unit
SG ... C2/m, No. 12
Uncorrected energy ... -0.2977 Ry/atom
Energy relative to the lowest polymorph listed for this composition ... 0.00 eV/f.u.

Entry from the Alexandria database: an optimized crystal structure of SrMnV2 (PBE).

Cell lengths 4.802, 4.802, 4.802 Å; angles 60.00, 60.00, 60.00 degrees
Sites, in units of the cell vectors:
Sr1 0.500 0.500 0.500
Mn1 0.000 0.000 0.000
V1 0.250 0.250 0.250
V2 0.750 0.750 0.750

Spin magnetization ... 2.9 μB per formula unit
SG ... Fm-3m, No. 225
Uncorrected energy ... -0.4671 Ry/atom
Formation energy from the elements ... 88 kJ per mole of atoms
Energy relative to the lowest polymorph listed for this composition ... 0.00 eV/f.u.

Entry from the Alexandria database: an optimized crystal structure of CeTh2Fe (PBE).

Cell lengths 3.705, 3.705, 10.131 Å; angles 79.46, 79.46, 60.00 degrees
Sites, in units of the cell vectors:
Ce1 0.000 0.000 0.000
Th1 0.113 0.113 0.661
Th2 0.887 0.887 0.339
Fe1 0.500 0.500 0.500

Spin magnetization ... 1.4 μB per formula unit
SG ... R-3m, No. 166
Uncorrected energy ... -0.5173 Ry/atom
Formation energy from the elements ... 26 kJ per mole of atoms
Energy relative to the lowest polymorph listed for this composition ... 1.43 eV/f.u.

Entry from the Alexandria database: an optimized crystal structure of Sm5YHo (PBE).

Cell lengths 8.891, 8.891, 13.321 Å; angles 45.24, 45.24, 43.76 degrees
Sites, in units of the cell vectors:
Sm1 0.742 0.748 0.097
Sm2 0.335 0.330 0.587
Sm3 0.748 0.742 0.597
Sm4 0.237 0.763 0.250
Sm5 0.670 0.665 0.913
Sm6 0.330 0.335 0.087
Sm7 0.763 0.237 0.750
Sm8 0.252 0.258 0.403
Sm9 0.665 0.670 0.413
Sm10 0.258 0.252 0.903
Y1 0.764 0.236 0.250
Y2 0.236 0.764 0.750
Ho1 0.000 0.000 0.000
Ho2 0.000 0.000 0.500

Spin magnetization ... 0.0 μB per formula unit
SG ... C2/c, No. 15
Uncorrected energy ... -0.3516 Ry/atom
Formation energy from the elements ... 16 kJ per mole of atoms
Energy relative to the lowest polymorph listed for this composition ... 0.00 eV/f.u.

Entry from the Alexandria database: an optimized crystal structure of KP2IrRu (PBE).

Cell lengths 3.996, 3.996, 7.071 Å; angles 106.41, 106.41, 90.00 degrees
Sites, in units of the cell vectors:
K1 0.000 0.000 0.000
P1 0.656 0.656 0.312
P2 0.344 0.344 0.688
Ir1 0.750 0.250 0.500
Ru1 0.250 0.750 0.500

Spin magnetization ... 0.0 μB per formula unit
SG ... I-4m2, No. 119
Uncorrected energy ... -0.4919 Ry/atom
Formation energy from the elements ... -66 kJ per mole of atoms

Entry from the Alexandria database: an optimized crystal structure of ThScZnIn (PBE).

Cell lengths 5.164, 5.164, 5.164 Å; angles 60.00, 60.00, 60.00 degrees
Sites, in units of the cell vectors:
Sc1 0.250 0.250 0.250
Zn1 0.000 0.000 0.000
Th1 0.750 0.750 0.750
In1 0.500 0.500 0.500

Spin magnetization ... 0.0 μB per formula unit
SG ... F-43m, No. 216
Uncorrected energy ... -0.3452 Ry/atom
Formation energy from the elements ... -25 kJ per mole of atoms
Energy relative to the lowest polymorph listed for this composition ... 0.24 eV/f.u.

Entry from the Alexandria database: an optimized crystal structure of ScCoSb (PBE).

Cell lengths 4.325, 4.325, 3.338 Å; angles 90.00, 90.00, 120.00 degrees
Sites, in units of the cell vectors:
Co1 0.000 0.000 0.167
Sb1 0.667 0.333 0.167
Sc1 0.333 0.667 0.667

Energy relative to the elements, uncorrected ... -503 meV/atom
Spin magnetization ... 0.0 μB per formula unit
SG ... P-6m2, No. 187
Uncorrected energy ... -0.4672 Ry/atom

Entry from the Alexandria database: an optimized crystal structure of K2HN (PBE).

Cell lengths 4.870, 4.870, 4.870 Å; angles 60.00, 60.00, 60.00 degrees
Sites, in units of the cell vectors:
H1 0.000 0.000 0.000
K1 0.250 0.250 0.250
K2 0.750 0.750 0.750
N1 0.500 0.500 0.500

Spin magnetization ... 2.0 μB per formula unit
SG ... Fm-3m, No. 225
Uncorrected energy ... -0.2057 Ry/atom
Energy relative to the lowest polymorph listed for this composition ... 1.04 eV/f.u.

Entry from the Alexandria database: an optimized crystal structure of HgSbAsSe2 (PBE).

Cell lengths 5.328, 5.328, 5.445 Å; angles 90.00, 90.00, 90.00 degrees
Sites, in units of the cell vectors:
Sb1 0.000 0.000 0.000
As1 0.000 0.000 0.500
Hg1 0.500 0.500 0.500
Se1 0.000 0.500 0.000
Se2 0.500 0.000 0.000

Energy relative to the elements, uncorrected ... 553 meV/atom
Spin magnetization ... 1.0 μB per formula unit
SG ... P4/mmm, No. 123
Uncorrected energy ... -0.1952 Ry/atom
Energy relative to the lowest polymorph listed for this composition ... 0.00 eV/f.u.

Entry from the Alexandria database: an optimized crystal structure of Tb6PrEr2 (PBE).

Cell lengths 7.358, 7.358, 7.675 Å; angles 61.36, 61.36, 60.00 degrees
Sites, in units of the cell vectors:
Tb1 0.782 0.261 0.696
Tb2 0.261 0.782 0.696
Tb3 0.261 0.261 0.696
Tb4 0.047 0.614 0.291
Tb5 0.048 0.047 0.291
Tb6 0.614 0.048 0.291
Pr1 0.318 0.318 0.047
Er1 0.756 0.756 0.733
Er2 0.579 0.579 0.262

Spin magnetization ... 0.0 μB per formula unit
SG ... R3m, No. 160
Uncorrected energy ... -0.3154 Ry/atom
Formation energy from the elements ... 33 kJ per mole of atoms
Energy relative to the lowest polymorph listed for this composition ... 2.91 eV/f.u.